A relaxed ReGeTe2I crystal. Source: Alexandria via LeMat-Bulk, functional PBE.

abc: 5.4339 5.4339 5.6036
angles: 90.00 90.00 90.00
With the nearest neighbours (Å) after each atom.
Space group P4/mmm (No. 123)
One atom of each set of equivalent atoms:
1 Re 0.0000 0.0000 0.0000  4 I 3.84, 8 Te 3.90
2 Ge 0.5000 0.5000 0.5000  4 Te 2.72, 2 I 2.80
3 Te 0.0000 0.5000 0.5000  2 Ge 2.72
4 I 0.5000 0.5000 0.0000  2 Ge 2.80

Mass density, g cm⁻³: 6.433
Uncorrected formation energy, eV per atom: 1.422
Relative energy among the computed polymorphs, eV per formula unit: 2.91

***

A relaxed TiReGeI2 crystal. Source: Alexandria via LeMat-Bulk, functional PBE.

abc: 5.6708 5.6708 5.0898
angles: 90.00 90.00 90.00
With the nearest neighbours (Å) after each atom.
Space group P4/mmm (No. 123)
One atom of each set of equivalent atoms:
1 Ti 0.0000 0.0000 0.0000  2 Ge 2.54
2 Re 0.5000 0.5000 0.0000  8 I 3.81, 4 Ti 4.01
3 Ge 0.0000 0.0000 0.5000  2 Ti 2.54, 4 I 2.84
4 I 0.0000 0.5000 0.5000  2 Ge 2.84

Mass density, g cm⁻³: 5.687
Uncorrected formation energy, eV per atom: 1.731

***

A relaxed Ge2Rh2I crystal. Source: Alexandria via LeMat-Bulk, functional PBE.

abc: 7.5129 7.5129 3.2111
angles: 90.00 90.00 90.00
With the nearest neighbours (Å) after each atom.
Space group P4/mbm (No. 127)
One atom of each set of equivalent atoms:
1 Ge 0.1364 0.3636 0.0000  6 Rh 2.62-2.87, 1 Ge 2.90
2 Rh 0.1393 0.6393 0.5000  6 Ge 2.62-2.87, 2 I 2.91
3 I 0.0000 0.0000 0.5000  4 Rh 2.91, 2 I 3.21

Mass density, g cm⁻³: 8.759
Uncorrected formation energy, eV per atom: -0.002
Relative energy among the computed polymorphs, eV per formula unit: 0.55

***

A relaxed GeRh3I crystal. Source: Alexandria via LeMat-Bulk, functional PBE.

abc: 4.8457 4.8457 4.8457
angles: 90.00 90.00 90.00
With the nearest neighbours (Å) after each atom.
Space group Pm-3m (No. 221)
One atom of each set of equivalent atoms:
1 Ge 0.0000 0.0000 0.0000  12 Rh 3.43
2 Rh 0.0000 0.5000 0.5000  2 I 2.42
3 I 0.5000 0.5000 0.5000  6 Rh 2.42

Mass density, g cm⁻³: 7.418
Uncorrected formation energy, eV per atom: 1.119
Relative energy among the computed polymorphs, eV per formula unit: 2.50

***

A relaxed Ge2Rh2I crystal. Source: Alexandria via LeMat-Bulk, functional PBE.

abc: 3.9247 3.9247 12.8253
angles: 90.00 90.00 90.00
With the nearest neighbours (Å) after each atom.
Space group I4/mmm (No. 139)
One atom of each set of equivalent atoms:
1 Ge 0.0000 0.5000 0.2500  4 Rh 2.47
2 Rh 0.0000 0.0000 0.1325  4 Ge 2.47
3 I 0.0000 0.0000 0.5000  8 Rh 3.25

Mass density, g cm⁻³: 8.036
Uncorrected formation energy, eV per atom: -0.111
Relative energy among the computed polymorphs, eV per formula unit: 0.00

***

A relaxed GeRhI3 crystal. Source: Alexandria via LeMat-Bulk, functional PBE.

abc: 5.3735 5.3735 5.3735
angles: 90.00 90.00 90.00
With the nearest neighbours (Å) after each atom.
Space group Pm-3m (No. 221)
One atom of each set of equivalent atoms:
1 Ge 0.0000 0.0000 0.0000  12 I 3.80
2 Rh 0.5000 0.5000 0.5000  6 I 2.69
3 I 0.0000 0.5000 0.5000  2 Rh 2.69

Mass density, g cm⁻³: 5.953
Uncorrected formation energy, eV per atom: 0.318
Relative energy among the computed polymorphs, eV per formula unit: 0.00

***

A relaxed Ge2Rh2I crystal. Source: Alexandria via LeMat-Bulk, functional PBE.

abc: 4.3378 4.3378 10.1350
angles: 90.00 90.00 90.00
With the nearest neighbours (Å) after each atom.
Space group I4/mmm (No. 139)
One atom of each set of equivalent atoms:
1 Ge 0.0000 0.0000 0.1271  4 Rh 2.50, 1 Ge 2.58
2 Rh 0.0000 0.5000 0.2500  4 Ge 2.50
3 I 0.0000 0.0000 0.5000  8 Ge 3.33, 8 Rh 3.34

Mass density, g cm⁻³: 8.324
Uncorrected formation energy, eV per atom: -0.107
Relative energy among the computed polymorphs, eV per formula unit: 0.02

***

A relaxed GeRh3I crystal. Source: Alexandria via LeMat-Bulk, functional PBE.

abc: 4.6426 4.6426 4.6426
angles: 90.00 90.00 90.00
With the nearest neighbours (Å) after each atom.
Space group Pm-3m (No. 221)
One atom of each set of equivalent atoms:
1 Ge 0.0000 0.0000 0.0000  6 Rh 2.32
2 Rh 0.0000 0.0000 0.5000  2 Ge 2.32
3 I 0.5000 0.5000 0.5000  12 Rh 3.28

Mass density, g cm⁻³: 8.435
Uncorrected formation energy, eV per atom: 0.618
Relative energy among the computed polymorphs, eV per formula unit: 0.00